# 1
## BaMoPt2 (PBE)

Data for crystalline BaMoPt2 at its relaxed geometry.

Lattice parameters (Å, degrees): 4.998 4.998 4.998 60.00 60.00 60.00
Last column: magnetic moment on the atom in μB.
Positions (direct):
Ba: 0.500 0.500 0.500  0.04
Pt: 0.750 0.750 0.750  0.14
Pt: 0.250 0.250 0.250  0.14
Mo: 0.000 0.000 0.000  2.72

Output
N(E_F) = 2.96 states/eV/f.u.
E = -23.17 eV for the cell shown
calculated density = 11.73 g/cm3
total moment = 3.5 μB/f.u.
space group = No. 225
energy above the most stable polymorph in this dataset = 0.676 eV/atom

# 2
## LiHoPuCl6 (PBE)

Data for crystalline LiHoPuCl6 at its relaxed geometry.

Lattice parameters (Å, degrees): 6.696 6.696 12.581 90.00 90.00 120.00
Last column: magnetic moment on the atom in μB.
Positions (direct):
Cl: 0.353 0.004 0.633  -0.01
Cl: 0.996 0.349 0.633  -0.01
Cl: 0.647 0.651 0.133  -0.01
Cl: 0.996 0.647 0.867  -0.01
Cl: 0.004 0.651 0.367  -0.01
Cl: 0.651 0.647 0.633  -0.01
Cl: 0.651 0.004 0.867  -0.01
Cl: 0.004 0.353 0.133  -0.01
Cl: 0.349 0.996 0.133  -0.01
Cl: 0.647 0.996 0.367  -0.01
Cl: 0.349 0.353 0.367  -0.01
Cl: 0.353 0.349 0.867  -0.01
Pu: 0.000 0.000 0.000  5.77
Pu: 0.000 0.000 0.500  5.77
Li: 0.333 0.667 0.250  0.00
Li: 0.667 0.333 0.750  0.00
Ho: 0.667 0.333 0.250  0.09
Ho: 0.333 0.667 0.750  0.09

Output
N(E_F) = 18.08 states/eV/f.u.
E = -99.33 eV for the cell shown
calculated density = 4.27 g/cm3
total moment = 6.0 μB/f.u.
space group = No. 163
raw formation energy = -1.9737 eV/atom

# 3
## Ag5Pt3 (PBE)

Data for crystalline Ag5Pt3 at its relaxed geometry.

Lattice parameters (Å, degrees): 7.736 7.736 7.823 95.34 95.34 141.31
Positions (direct):
Ag: 0.983 0.285 0.157
Ag: 0.747 0.909 0.691
Ag: 0.762 0.262 0.530
Ag: 0.785 0.483 0.157
Ag: 0.254 0.091 0.310
Ag: 0.591 0.754 0.310
Ag: 0.409 0.247 0.691
Ag: 0.018 0.716 0.844
Ag: 0.216 0.518 0.844
Ag: 0.239 0.739 0.471
Pt: 0.828 0.673 0.500
Pt: 0.735 0.766 0.000
Pt: 0.173 0.328 0.500
Pt: 0.398 0.898 0.147
Pt: 0.603 0.103 0.854
Pt: 0.266 0.235 0.000

Output
N(E_F) = 2.73 states/eV/f.u.
E = -62.20 eV for the cell shown
calculated density = 13.30 g/cm3
total moment = 0.0 μB/f.u.
space group = No. 12
energy above the most stable polymorph in this dataset = 0.155 eV/atom

# 4
## SrBeN2 (PBE)

Data for crystalline SrBeN2 at its relaxed geometry.

Lattice parameters (Å, degrees): 6.108 6.108 6.108 37.68 37.68 37.68
Last column: magnetic moment on the atom in μB.
Positions (direct):
Sr: 0.500 0.500 0.500  0.04
N: 0.910 0.910 0.910  0.65
N: 0.090 0.090 0.090  0.65
Be: 0.000 0.000 0.000  -0.04

Output
N(E_F) = 1.45 states/eV/f.u.
E = -21.60 eV for the cell shown
calculated density = 2.71 g/cm3
total moment = 2.0 μB/f.u.
space group = No. 166
raw formation energy = 0.1145 eV/atom

# 5
## MgSn2P2 (PBE)

Data for crystalline MgSn2P2 at its relaxed geometry.

Lattice parameters (Å, degrees): 7.458 7.458 4.001 90.00 90.00 90.00
Positions (direct):
Mg: 0.500 0.500 0.000
Mg: 0.000 0.000 0.000
Sn: 0.145 0.645 0.500
Sn: 0.855 0.355 0.500
Sn: 0.355 0.145 0.500
Sn: 0.645 0.855 0.500
P: 0.817 0.683 0.000
P: 0.183 0.317 0.000
P: 0.683 0.183 0.000
P: 0.317 0.817 0.000

Output
N(E_F) = 1.95 states/eV/f.u.
E = -40.47 eV for the cell shown
calculated density = 4.83 g/cm3
total moment = 0.0 μB/f.u.
space group = No. 127

# 6
## Tb3Pm3Y4 (PBE)

Data for crystalline Tb3Pm3Y4 at its relaxed geometry.

Lattice parameters (Å, degrees): 3.697 9.510 9.510 90.17 90.00 90.00
Positions (direct):
Y: 0.000 0.374 0.626
Y: 0.000 0.877 0.874
Y: 0.000 0.625 0.375
Y: 0.000 0.126 0.123
Pm: 0.500 0.826 0.174
Pm: 0.500 0.674 0.675
Pm: 0.500 0.325 0.326
Tb: 0.000 0.001 0.503
Tb: 0.500 0.174 0.826
Tb: 0.000 0.497 0.999

Output
N(E_F) = 8.26 states/eV/f.u.
E = -52.94 eV for the cell shown
calculated density = 6.29 g/cm3
total moment = 0.0 μB/f.u.
space group = No. 38

- Among the records above, which one has the highest total moment?
  LiHoPuCl6